Entry 1:
The following is a PBE calculation of a relaxed structure of CrTe4Pt, from Alexandria via LeMat-Bulk.

Geometry as POSCAR:
```
CrTe4Pt
1.0
0.000 4.359 4.359
4.359 0.000 4.359
4.359 4.359 0.000
Cr Te Pt
1 4 1
Cartesian
0.000 0.000 0.000
3.278 3.278 3.278
5.441 5.441 3.278
5.441 3.278 5.441
3.278 5.441 5.441
6.539 6.539 6.539
```

Space-group type ... No. 216
Crystal system ... cubic
Formation energy from raw total energies ... 5.9 eV per formula unit
M_tot ... 3.989 μB per formula unit
Energy above the lowest structure with this stoichiometry ... 736 kJ/mol of formula units

***

Entry 2:
The following is a PBE calculation of a relaxed structure of LaErSc4, from Alexandria via LeMat-Bulk.

Geometry as POSCAR:
```
LaErSc4
1.0
3.283 -9.299 0.000
3.283 9.299 0.000
0.000 0.000 5.363
La Er Sc
2 2 8
Cartesian
3.283 7.008 4.022
3.283 -7.008 1.341
3.283 2.361 1.341
3.283 -2.361 4.022
1.653 3.879 4.022
1.679 0.779 4.022
1.679 -0.779 1.341
1.653 -3.879 1.341
4.913 3.879 4.022
4.887 0.779 4.022
4.887 -0.779 1.341
4.913 -3.879 1.341
```

Space-group type ... No. 63
Crystal system ... orthorhombic
E_form ... 69.9 meV per atom
M_tot ... 0.000 μB per formula unit

***

What did the first record say?
The following is a PBE calculation of a relaxed structure of CrTe4Pt, from Alexandria via LeMat-Bulk.

Geometry as POSCAR:
```
CrTe4Pt
1.0
0.000 4.359 4.359
4.359 0.000 4.359
4.359 4.359 0.000
Cr Te Pt
1 4 1
Cartesian
0.000 0.000 0.000
3.278 3.278 3.278
5.441 5.441 3.278
5.441 3.278 5.441
3.278 5.441 5.441
6.539 6.539 6.539
```

Space-group type ... No. 216
Crystal system ... cubic
Formation energy from raw total energies ... 5.9 eV per formula unit
M_tot ... 3.989 μB per formula unit
Energy above the lowest structure with this stoichiometry ... 736 kJ/mol of formula units

***

M_tot of number 1 (CrTe4Pt)? 3.989 μB per formula unit